This record from Alexandria describes a relaxed La4HgGeBr2 crystal. The functional is PBE.

Unit cell a=7.5166 b=4.4392 c=7.9235 alpha=90.00 beta=109.55 gamma=90.00
Space group P2/m (No. 10)
Asymmetric unit:
La 0.2332 0.0000 0.2330 (multiplicity 2)
La 0.2413 0.5000 0.7586 (multiplicity 2)
Hg 0.0000 0.0000 0.5000 (multiplicity 1)
Ge 0.0000 0.5000 0.0000 (multiplicity 1)
Br 0.5000 0.0000 0.0000 (multiplicity 1)
Br 0.5000 0.5000 0.5000 (multiplicity 1)

* E_form (uncorrected): -1032.4 meV/atom
* D(E_F): 5.51 states/eV/f.u.
* final energy: -4.529 eV/atom
* total moment: 0.00 Bohr magnetons per cell